## Rb2NiOs3O12 (PBE+U)

Data for Rb2NiOs3O12 after structural relaxation.

Geometry as POSCAR:
```
Rb2NiOs3O12
1.0
7.244 -0.006 -0.004
3.572 6.302 -0.004
3.572 2.079 5.949
O Os Rb Ni
12 3 2 1
Cartesian
5.323 0.510 0.362
11.317 6.587 1.930
7.644 4.450 0.415
5.395 5.727 4.062
8.994 2.649 1.879
3.073 4.377 0.362
7.644 1.863 4.062
6.745 3.926 5.526
9.066 7.865 5.579
6.745 6.513 1.879
3.073 1.789 4.011
11.317 3.999 5.579
3.622 -0.003 -0.002
1.786 3.151 -0.002
1.786 1.040 2.975
8.910 5.186 3.679
5.480 3.190 2.262
0.000 0.000 0.000
```

Properties
Its total energy is -118.5 eV for the cell shown. As for the total magnetization: 1.40 μB/f.u.